Entry 1:
DFT (GGA-PBE) results for a relaxed NiSe2Cl crystal.

Cell: 11.188 4.953 4.953 Å, 120.81 131.33 48.67°
Atoms (fractional coordinates):
Se1 0.002 0.179 0.821
Se2 0.502 0.679 0.321
Se3 0.998 0.821 0.179
Se4 0.498 0.321 0.679
Cl1 0.250 0.250 0.750
Cl2 0.750 0.750 0.250
Ni1 0.250 0.750 0.250
Ni2 0.750 0.250 0.750

Energy above the most stable polymorph in this dataset (meV/atom): 92
DOS at the Fermi energy (states/eV/f.u.): 1.1
VASP energy (eV/f.u.): -15.48

Entry 2:
DFT (GGA-PBE) results for a relaxed NiSe2Cl crystal.

Cell: 3.783 3.783 5.161 Å, 90.00 90.00 90.00°
Atoms (fractional coordinates):
Se1 0.000 0.000 0.000
Se2 0.500 0.500 0.500
Ni1 0.500 0.500 0.000
Cl1 0.000 0.000 0.500

Energy above the most stable polymorph in this dataset (meV/atom): 641
DOS at the Fermi energy (states/eV/f.u.): 3.8
VASP energy (eV/f.u.): -13.28

Entry 3:
DFT (GGA-PBE) results for a relaxed NiSe2Cl crystal.

Cell: 11.592 11.592 11.592 Å, 14.21 14.21 14.21°
Atoms (fractional coordinates):
Cl1 0.500 0.500 0.500
Ni1 0.000 0.000 0.000
Se1 0.066 0.066 0.066
Se2 0.934 0.934 0.934

Energy above the most stable polymorph in this dataset (meV/atom): 608
DOS at the Fermi energy (states/eV/f.u.): 3.0
VASP energy (eV/f.u.): -13.41

Entry 4:
DFT (GGA-PBE) results for a relaxed NiSe2Cl crystal.

Cell: 2.881 2.881 10.655 Å, 90.00 90.00 90.00°
Last column: magnetic moment on the atom in μB.
Atoms (fractional coordinates):
Se1 0.000 0.000 0.902  0.10
Se2 0.500 0.500 0.229  0.01
Ni1 0.500 0.500 0.762  0.58
Cl1 0.000 0.000 0.607  0.15

Energy above the most stable polymorph in this dataset (meV/atom): 513
DOS at the Fermi energy (states/eV/f.u.): 3.4
VASP energy (eV/f.u.): -13.79

Entry 5:
DFT (GGA-PBE) results for a relaxed NiSe2Cl crystal.

Cell: 4.609 4.609 4.609 Å, 60.00 60.00 60.00°
Last column: magnetic moment on the atom in μB.
Atoms (fractional coordinates):
Se1 0.750 0.750 0.750  0.00
Se2 0.250 0.250 0.250  0.00
Ni1 0.500 0.500 0.500  0.13
Cl1 0.000 0.000 0.000  -0.01

Energy above the most stable polymorph in this dataset (meV/atom): 897
DOS at the Fermi energy (states/eV/f.u.): 3.4
VASP energy (eV/f.u.): -12.26

Entry 6:
DFT (GGA-PBE) results for a relaxed Ni2SeCl crystal.

Cell: 2.987 4.403 4.403 Å, 90.00 90.00 90.00°
Atoms (fractional coordinates):
Cl1 0.500 0.000 0.500
Ni1 0.000 0.000 0.000
Ni2 0.000 0.500 0.500
Se1 0.500 0.500 0.000

Energy above the most stable polymorph in this dataset (meV/atom): 442
DOS at the Fermi energy (states/eV/f.u.): 4.5
VASP energy (eV/f.u.): -15.69

Entry 7:
DFT (GGA-PBE) results for a relaxed NiSe2Cl crystal.

Cell: 3.574 8.557 6.578 Å, 67.34 89.99 102.10°
Atoms (fractional coordinates):
Se1 0.273 0.055 0.839
Se2 0.926 0.359 0.507
Se3 0.410 0.328 0.045
Se4 0.758 0.024 0.377
Cl1 0.061 0.626 0.219
Cl2 0.625 0.758 0.666
Ni1 0.842 0.192 0.942
Ni2 0.342 0.191 0.442

Energy above the most stable polymorph in this dataset (meV/atom): 34
DOS at the Fermi energy (states/eV/f.u.): 0.0
VASP energy (eV/f.u.): -15.71

Entry 8:
DFT (GGA-PBE) results for a relaxed NiSe2Cl crystal.

Cell: 7.495 7.495 3.258 Å, 90.00 90.00 144.32°
Last column: magnetic moment on the atom in μB.
Atoms (fractional coordinates):
Cl1 0.500 0.000 0.500  0.08
Se1 0.000 0.000 0.000  0.01
Se2 0.500 0.500 0.000  0.01
Ni1 0.000 0.500 0.500  0.94

Energy above the most stable polymorph in this dataset (meV/atom): 822
DOS at the Fermi energy (states/eV/f.u.): 6.2
VASP energy (eV/f.u.): -12.56

Entry 9:
DFT (GGA-PBE) results for a relaxed NiSe2Cl crystal.

Cell: 8.719 3.487 13.552 Å, 90.00 90.00 90.00°
Atoms (fractional coordinates):
Se1 0.358 0.750 0.424
Se2 0.642 0.250 0.576
Se3 0.858 0.750 0.076
Se4 0.165 0.750 0.167
Se5 0.335 0.250 0.667
Se6 0.665 0.750 0.333
Se7 0.835 0.250 0.833
Se8 0.142 0.250 0.924
Cl1 0.910 0.750 0.382
Cl2 0.410 0.750 0.118
Cl3 0.090 0.250 0.618
Cl4 0.590 0.250 0.882
Ni1 0.963 0.750 0.912
Ni2 0.037 0.250 0.088
Ni3 0.537 0.250 0.412
Ni4 0.463 0.750 0.588

Energy above the most stable polymorph in this dataset (meV/atom): 68
DOS at the Fermi energy (states/eV/f.u.): 1.2
VASP energy (eV/f.u.): -15.57

Entry 10:
DFT (GGA-PBE) results for a relaxed Ni2Se2Cl crystal.

Cell: 3.539 3.539 7.539 Å, 103.57 103.57 90.00°
Atoms (fractional coordinates):
Ni1 0.159 0.159 0.319
Ni2 0.841 0.841 0.681
Se1 0.324 0.324 0.647
Se2 0.676 0.676 0.353
Cl1 0.000 0.000 0.000

DOS at the Fermi energy (states/eV/f.u.): 2.9
VASP energy (eV/f.u.): -21.89

Entry 11:
DFT (GGA-PBE) results for a relaxed NiSe2Cl crystal.

Cell: 4.836 4.836 7.231 Å, 74.91 74.91 39.05°
Atoms (fractional coordinates):
Se1 0.754 0.754 0.815
Se2 0.892 0.892 0.046
Cl1 0.609 0.609 0.410
Ni1 0.244 0.244 0.229

Energy above the most stable polymorph in this dataset (meV/atom): 158
DOS at the Fermi energy (states/eV/f.u.): 3.5
VASP energy (eV/f.u.): -15.21

Entry 12:
DFT (GGA-PBE) results for a relaxed NiSe2Cl crystal.

Cell: 4.649 4.649 4.649 Å, 119.96 119.96 90.06°
Atoms (fractional coordinates):
Se1 0.250 0.750 0.500
Se2 0.000 0.000 0.000
Cl1 0.500 0.500 0.000
Ni1 0.750 0.250 0.500

Energy above the most stable polymorph in this dataset (meV/atom): 908
DOS at the Fermi energy (states/eV/f.u.): 3.6
VASP energy (eV/f.u.): -12.21

Entry 13:
DFT (GGA-PBE) results for a relaxed Ni2SeCl crystal.

Cell: 4.429 4.429 4.429 Å, 60.00 60.00 60.00°
Last column: magnetic moment on the atom in μB.
Atoms (fractional coordinates):
Se1 0.750 0.750 0.750  0.06
Cl1 0.500 0.500 0.500  0.04
Ni1 0.000 0.000 0.000  0.33
Ni2 0.250 0.250 0.250  0.52

Energy above the most stable polymorph in this dataset (meV/atom): 861
DOS at the Fermi energy (states/eV/f.u.): 6.1
VASP energy (eV/f.u.): -14.01

Entry 14:
DFT (GGA-PBE) results for a relaxed NiSe2Cl crystal.

Cell: 3.212 3.212 8.674 Å, 90.00 90.00 90.00°
Atoms (fractional coordinates):
Se1 0.000 0.000 0.826
Se2 0.500 0.500 0.187
Ni1 0.500 0.500 0.923
Cl1 0.000 0.000 0.565

Energy above the most stable polymorph in this dataset (meV/atom): 377
DOS at the Fermi energy (states/eV/f.u.): 2.5
VASP energy (eV/f.u.): -14.34

Entry 15:
DFT (GGA-PBE) results for a relaxed NiSe3Cl crystal.

Cell: 4.937 4.937 4.937 Å, 90.00 90.00 90.00°
Last column: magnetic moment on the atom in μB.
Atoms (fractional coordinates):
Cl1 0.000 0.000 0.000  0.00
Se1 0.000 0.000 0.500  0.14
Se2 0.500 0.000 0.000  0.11
Se3 0.000 0.500 0.000  0.17
Ni1 0.500 0.500 0.500  1.06

Energy above the most stable polymorph in this dataset (meV/atom): 1169
DOS at the Fermi energy (states/eV/f.u.): 8.4
VASP energy (eV/f.u.): -11.78

Entry 16:
DFT (GGA-PBE) results for a relaxed NiSe2Cl crystal.

Cell: 6.581 4.588 11.104 Å, 90.00 90.00 90.00°
Atoms (fractional coordinates):
Se1 0.118 0.750 0.543
Se2 0.618 0.750 0.957
Se3 0.882 0.250 0.457
Se4 0.382 0.250 0.043
Se5 0.456 0.250 0.687
Se6 0.044 0.750 0.187
Se7 0.956 0.250 0.813
Se8 0.544 0.750 0.313
Cl1 0.565 0.750 0.642
Cl2 0.065 0.750 0.858
Cl3 0.435 0.250 0.358
Cl4 0.935 0.250 0.142
Ni1 0.115 0.250 0.619
Ni2 0.885 0.750 0.381
Ni3 0.615 0.250 0.881
Ni4 0.385 0.750 0.119

Energy above the most stable polymorph in this dataset (meV/atom): 275
DOS at the Fermi energy (states/eV/f.u.): 3.2
VASP energy (eV/f.u.): -14.75

Entry 17:
DFT (GGA-PBE) results for a relaxed NiSe2Cl crystal.

Cell: 5.961 9.486 5.561 Å, 90.00 90.00 90.00°
Atoms (fractional coordinates):
Ni1 0.289 0.394 0.578
Ni2 0.789 0.106 0.578
Ni3 0.711 0.606 0.078
Ni4 0.211 0.894 0.078
Se1 0.090 0.658 0.953
Se2 0.849 0.952 0.251
Se3 0.410 0.158 0.453
Se4 0.151 0.048 0.751
Se5 0.349 0.548 0.251
Se6 0.651 0.452 0.751
Se7 0.590 0.842 0.953
Se8 0.910 0.342 0.453
Cl1 0.711 0.180 0.968
Cl2 0.789 0.680 0.468
Cl3 0.211 0.320 0.968
Cl4 0.289 0.820 0.468

Energy above the most stable polymorph in this dataset (meV/atom): 257
DOS at the Fermi energy (states/eV/f.u.): 2.3
VASP energy (eV/f.u.): -14.82

Entry 18:
DFT (GGA-PBE) results for a relaxed NiSeCl crystal.

Cell: 7.705 7.119 3.729 Å, 84.35 66.86 28.79°
Atoms (fractional coordinates):
Ni1 0.334 0.334 0.666
Se1 0.721 0.721 0.279
Cl1 0.945 0.945 0.055

DOS at the Fermi energy (states/eV/f.u.): 2.1
VASP energy (eV/f.u.): -11.85

Entry 19:
DFT (GGA-PBE) results for a relaxed Ni3SeCl crystal.

Cell: 4.508 4.508 4.508 Å, 90.00 90.00 90.00°
Last column: magnetic moment on the atom in μB.
Atoms (fractional coordinates):
Ni1 0.500 0.000 0.000  0.94
Ni2 0.000 0.000 0.500  0.68
Ni3 0.000 0.500 0.000  0.96
Se1 0.000 0.000 0.000  0.10
Cl1 0.500 0.500 0.500  0.20

Energy above the most stable polymorph in this dataset (meV/atom): 0
DOS at the Fermi energy (states/eV/f.u.): 12.2
VASP energy (eV/f.u.): -20.31

Entry 20:
DFT (GGA-PBE) results for a relaxed NiSe2Cl crystal.

Cell: 11.946 11.946 4.602 Å, 90.00 90.00 165.08°
Atoms (fractional coordinates):
Ni1 0.939 0.061 0.750
Ni2 0.061 0.939 0.250
Se1 0.962 0.038 0.250
Se2 0.156 0.844 0.250
Se3 0.844 0.156 0.750
Se4 0.038 0.962 0.750
Cl1 0.671 0.329 0.750
Cl2 0.329 0.671 0.250

Energy above the most stable polymorph in this dataset (meV/atom): 362
DOS at the Fermi energy (states/eV/f.u.): 3.2
VASP energy (eV/f.u.): -14.40

| no. | formation energy (no corrections) (eV/atom) |
| --- | --- |
| 1 | -0.220 |
| 2 | 0.329 |
| 3 | 0.296 |
| 4 | 0.201 |
| 5 | 0.584 |
| 6 | 0.302 |
| 7 | -0.278 |
| 8 | 0.509 |
| 9 | -0.244 |
| 10 | -0.302 |
| 11 | -0.154 |
| 12 | 0.596 |
| 13 | 0.722 |
| 14 | 0.065 |
| 15 | 1.260 |
| 16 | -0.037 |
| 17 | -0.055 |
| 18 | -0.246 |
| 19 | 0.472 |
| 20 | 0.050 |